Entry 1:
Entry from the Alexandria database: a relaxed structure of La2Al3AgPd4 (PBE).

```
La2Al3AgPd4
1.0
4.367 0.000 0.000
0.000 4.367 0.000
0.000 0.000 10.669
La Al Ag Pd
2 3 1 4
direct
0.000 0.500 0.250
0.500 0.000 0.750
0.000 0.000 0.000
0.000 0.500 0.617
0.500 0.000 0.383
0.500 0.500 0.000
0.000 0.000 0.500
0.000 0.500 0.850
0.500 0.000 0.150
0.500 0.500 0.500
```

- total moment (μB per cell) = 0.00
- energy of formation (eV per atom) = -0.758
- D(E_F) (states/eV/atom) = 0.51

=====

Entry 2:
Entry from the Alexandria database: a relaxed structure of HfMn3Mo (PBE).

```
HfMn3Mo
1.0
4.645 0.000 0.000
0.000 4.645 0.000
0.000 0.000 4.645
Hf Mn Mo
1 3 1
direct
0.000 0.000 0.000
0.000 0.000 0.500
0.000 0.500 0.000
0.500 0.000 0.000
0.500 0.500 0.500
```

- total moment (μB per cell) = 5.98
- energy of formation (eV per atom) = 1.707
- D(E_F) (states/eV/atom) = 0.94

=====

Entry 3:
Entry from the Alexandria database: a relaxed structure of Zr2HgAs (PBE).

```
Zr2HgAs
1.0
4.103 0.000 0.000
0.000 1.961 5.256
0.000 -1.961 5.256
Zr Hg As
2 1 1
direct
0.000 0.000 0.000
0.500 0.271 0.271
0.500 0.540 0.540
0.000 0.735 0.735
```

- total moment (μB per cell) = 0.00
- energy of formation (eV per atom) = -0.486
- D(E_F) (states/eV/atom) = 0.55

=====

Entry 4:
Entry from the Alexandria database: a relaxed structure of ZnRh2Au (PBE).

```
ZnRh2Au
1.0
1.407 -2.385 0.000
1.407 2.385 0.000
0.000 0.000 9.170
Zn Rh Au
1 2 1
direct
0.000 0.000 0.000
0.000 0.000 0.522
0.500 0.500 0.768
0.500 0.500 0.254
```

- total moment (μB per cell) = 0.00
- energy of formation (eV per atom) = 0.063
- D(E_F) (states/eV/atom) = 1.27